Here is a relaxed SiPbW2 crystal from Alexandria via LeMat-Bulk. Energies are from PBE.

## Properties
As for the volume: 71.6 Å³ per cell. The value obtained for the uncorrected formation energy is 0.86 eV per atom. The calculation puts the density of states at the Fermi level at 0.96 states/eV per cell. As for the total magnetization: 0.00 μB/f.u. The calculation puts the energy above the lowest structure with this stoichiometry at 507 meV/atom.

```
4
Lattice="0.000 3.296 3.296 3.296 0.000 3.296 3.296 3.296 0.000" Properties=species:S:1:pos:R:3 pbc="T T T"
Si 0.000 0.000 0.000
Pb 4.944 4.944 4.944
W 1.648 1.648 1.648
W 3.296 3.296 3.296
```